Material: ErTh2Tl
Method: DFT, GGA-PBE
State: optimized geometry Values from VASP.

```
&SYSTEM
  ibrav = 0, nat = 4, ntyp = 3
/
ATOMIC_SPECIES
Tl 204.38 Tl.upf
Er 167.26 Er.upf
Th 232.04 Th.upf
CELL_PARAMETERS angstrom
3.406 0.000 0.000
1.703 2.950 0.000
1.703 0.983 12.360
ATOMIC_POSITIONS angstrom
Tl 3.406 1.967 6.180
Er 0.000 0.000 0.000
Th 5.109 2.950 3.309
Th 1.703 0.983 9.051
```

Values from the calculation:
- Crystal system: trigonal
- Energy relative to the elements: 193 meV per atom
- DOS(E_F): 5.1 states/eV per cell
- SG: R-3m (166)
- Energy above the lowest structure with this stoichiometry: 287 meV/atom


Material: ErThTlZn
Method: DFT, GGA-PBE
State: optimized geometry Values from VASP.

```
&SYSTEM
  ibrav = 0, nat = 4, ntyp = 4
/
ATOMIC_SPECIES
Er 167.26 Er.upf
Tl 204.38 Tl.upf
Zn 65.41 Zn.upf
Th 232.04 Th.upf
CELL_PARAMETERS angstrom
5.288 0.000 0.000
2.644 4.579 0.000
2.644 1.526 4.317
ATOMIC_POSITIONS angstrom
Er 2.644 1.526 1.079
Tl 5.288 3.053 2.159
Zn 0.000 0.000 0.000
Th 7.931 4.579 3.238
```

Values from the calculation:
- Crystal system: cubic
- Energy relative to the elements: -193 meV per atom
- DOS(E_F): 3.0 states/eV per cell
- SG: F-43m (216)


Q: Which value of DOS(E_F) does entry 2 give?
A: 3.0 states/eV per cell


Q: Which formula does entry 2 have?
A: ErThTlZn